Compound: VSn2Pd
Source: Alexandria via LeMat-Bulk
Functional: GGA-PBE
Structure: relaxed

## Properties
- DOS(E_F): 17.17 states/eV/cell
- E above lowest polymorph: 0.2929 eV/atom
- Calculated volume: 21.031 Å³/atom

Unit cell a=7.4411 b=7.4411 c=6.0773 alpha=90.00 beta=90.00 gamma=90.00
With the nearest neighbours (Å) after each atom.
Sites, in units of the cell vectors:
1 V 0.0000 0.0000 0.0000  4 Sn 2.82, 2 Pd 3.04
2 V 0.0000 0.5000 0.2500  4 Sn 2.82, 2 Pd 3.04
3 V 0.5000 0.0000 0.7500  4 Sn 2.82, 2 Pd 3.04
4 V 0.5000 0.5000 0.5000  4 Sn 2.82, 2 Pd 3.04
5 Sn 0.2348 0.2500 0.6250  2 Pd 2.66, 2 V 2.82
6 Sn 0.2500 0.7348 0.8750  2 Pd 2.66, 2 V 2.82
7 Sn 0.2500 0.7652 0.3750  2 Pd 2.66, 2 V 2.82
8 Sn 0.2652 0.2500 0.1250  2 Pd 2.66, 2 V 2.82
9 Sn 0.7348 0.7500 0.1250  2 Pd 2.66, 2 V 2.82
10 Sn 0.7500 0.2348 0.3750  2 Pd 2.66, 2 V 2.82
11 Sn 0.7500 0.2652 0.8750  2 Pd 2.66, 2 V 2.82
12 Sn 0.7652 0.7500 0.6250  2 Pd 2.66, 2 V 2.82
13 Pd 0.0000 0.0000 0.5000  4 Sn 2.66
14 Pd 0.0000 0.5000 0.7500  4 Sn 2.66
15 Pd 0.5000 0.0000 0.2500  4 Sn 2.66
16 Pd 0.5000 0.5000 0.0000  4 Sn 2.66

Compound: VSnPd3
Source: Alexandria via LeMat-Bulk
Functional: GGA-PBE
Structure: relaxed

## Properties
- DOS(E_F): 3.96 states/eV/cell
- E above lowest polymorph: 0.0000 eV/atom
- Calculated volume: 20.534 Å³/atom

Unit cell a=4.6825 b=4.6825 c=4.6825 alpha=90.00 beta=90.00 gamma=90.00
With the nearest neighbours (Å) after each atom.
Sites, in units of the cell vectors:
1 V 0.0000 0.0000 0.0000  6 Pd 2.34
2 Sn 0.5000 0.5000 0.5000  12 Pd 3.31
3 Pd 0.0000 0.0000 0.5000  2 V 2.34
4 Pd 0.0000 0.5000 0.0000  2 V 2.34
5 Pd 0.5000 0.0000 0.0000  2 V 2.34

DFT formation energy, record by record: 0.19 0.51 eV per atom